Record 1
A plane-wave DFT calculation with PBE was carried out for GdTlZnS3 after structural relaxation.

Properties
The energy above the most stable polymorph in this dataset comes out at 0.0603 eV per atom. The symmetry is Pnma (62).

a b c (Å): 9.964 4.001 14.948
angles (deg): 90.00 90.00 90.00
Fractional positions:
1 Gd 0.328 0.250 0.560
2 Tl 0.511 0.250 0.175
3 S 0.682 0.750 0.016
4 S 0.818 0.250 0.516
5 S 0.281 0.750 0.219
6 S 0.477 0.250 0.395
7 Zn 0.168 0.250 0.866
8 S 0.719 0.250 0.781
9 Tl 0.989 0.750 0.675
10 Zn 0.668 0.250 0.634
11 Tl 0.011 0.250 0.325
12 Gd 0.828 0.250 0.940
13 Gd 0.172 0.750 0.060
14 S 0.318 0.250 0.984
15 S 0.219 0.250 0.719
16 S 0.182 0.750 0.484
17 Tl 0.489 0.750 0.825
18 Gd 0.672 0.750 0.440
19 S 0.977 0.250 0.105
20 S 0.523 0.750 0.605
21 S 0.781 0.750 0.281
22 Zn 0.332 0.750 0.366
23 S 0.023 0.750 0.895
24 Zn 0.832 0.750 0.134



Record 2
A plane-wave DFT calculation with PBE was carried out for GdTlZnS3 after structural relaxation.

Properties
The energy above the most stable polymorph in this dataset comes out at 0.0171 eV per atom. The symmetry is Pnma (62).

a b c (Å): 14.470 4.003 10.817
angles (deg): 90.00 90.00 90.00
Fractional positions:
1 S 0.575 0.250 0.112
2 S 0.134 0.250 0.747
3 Gd 0.524 0.750 0.657
4 S 0.075 0.250 0.388
5 S 0.366 0.750 0.247
6 Tl 0.742 0.750 0.961
7 Tl 0.758 0.250 0.461
8 Zn 0.518 0.250 0.902
9 Tl 0.242 0.750 0.539
10 S 0.925 0.750 0.612
11 Gd 0.976 0.250 0.157
12 S 0.425 0.750 0.888
13 Tl 0.258 0.250 0.039
14 Zn 0.482 0.750 0.098
15 S 0.634 0.250 0.753
16 S 0.905 0.250 0.924
17 S 0.595 0.750 0.424
18 S 0.866 0.750 0.253
19 Zn 0.018 0.250 0.598
20 Zn 0.982 0.750 0.402
21 S 0.405 0.250 0.576
22 S 0.095 0.750 0.076
23 Gd 0.476 0.250 0.343
24 Gd 0.024 0.750 0.843



Record 3
A plane-wave DFT calculation with PBE was carried out for Gd2TmS3 after structural relaxation.

Properties
The symmetry is P-3m1 (164).

a b c (Å): 3.903 3.903 9.608
angles (deg): 90.00 90.00 120.00
Fractional positions:
1 S 0.000 0.000 0.500
2 Gd 0.667 0.333 0.332
3 S 0.333 0.667 0.158
4 S 0.667 0.333 0.842
5 Gd 0.333 0.667 0.668
6 Tm 0.000 0.000 0.000



Record 4
A plane-wave DFT calculation with PBE was carried out for GdY2S3 after structural relaxation.

Properties
The symmetry is P-3m1 (164).

a b c (Å): 3.921 3.921 9.629
angles (deg): 90.00 90.00 120.00
Fractional positions:
1 S 0.333 0.667 0.669
2 Y 0.667 0.333 0.833
3 S 0.667 0.333 0.331
4 Gd 0.000 0.000 0.500
5 S 0.000 0.000 0.000
6 Y 0.333 0.667 0.167



Record 5
A plane-wave DFT calculation with PBE was carried out for Gd2ZrS5 after structural relaxation.

Properties
The symmetry is Pnma (62).

a b c (Å): 11.604 7.819 7.294
angles (deg): 90.00 90.00 90.00
Fractional positions:
1 S 0.593 0.462 0.838
2 Zr 0.993 0.250 0.422
3 Gd 0.178 0.002 0.024
4 S 0.003 0.750 0.949
5 S 0.997 0.250 0.051
6 S 0.682 0.750 0.167
7 Gd 0.822 0.502 0.976
8 S 0.497 0.250 0.449
9 Zr 0.493 0.250 0.078
10 S 0.792 0.750 0.689
11 S 0.593 0.038 0.838
12 Gd 0.322 0.998 0.524
13 S 0.907 0.538 0.338
14 Zr 0.507 0.750 0.922
15 S 0.208 0.250 0.311
16 S 0.182 0.750 0.333
17 Gd 0.678 0.002 0.476
18 S 0.093 0.462 0.662
19 Gd 0.678 0.498 0.476
20 Gd 0.822 0.998 0.976
21 S 0.907 0.962 0.338
22 S 0.292 0.750 0.811
23 Gd 0.178 0.498 0.024
24 S 0.407 0.538 0.162
25 S 0.093 0.038 0.662
26 Zr 0.007 0.750 0.578
27 S 0.407 0.962 0.162
28 S 0.818 0.250 0.667
29 S 0.318 0.250 0.833
30 Gd 0.322 0.502 0.524
31 S 0.708 0.250 0.189
32 S 0.503 0.750 0.551



Record 6
A plane-wave DFT calculation with PBE was carried out for Gd2Sb after structural relaxation.

Properties
The energy above the most stable polymorph in this dataset comes out at 1.8431 eV per atom. The symmetry is Fd-3m (227).

a b c (Å): 9.565 9.565 9.565
angles (deg): 60.00 60.00 60.00
Each line ends with the local moment (μB).
Fractional positions:
1 Gd 0.375 0.375 0.875  0.49
2 Gd 0.375 0.875 0.375  0.50
3 Gd 0.875 0.375 0.375  0.47
4 Gd 0.375 0.375 0.375  0.49
5 Sb 0.500 0.500 0.500  0.01
6 Sb 0.250 0.250 0.250  0.01



Record 7
A plane-wave DFT calculation with PBE was carried out for Gd2Sb after structural relaxation.

Properties
The energy above the most stable polymorph in this dataset comes out at 0.0000 eV per atom. The symmetry is I4/mmm (139).

a b c (Å): 9.171 9.171 9.171
angles (deg): 151.85 151.85 40.23
Fractional positions:
1 Gd 0.500 0.000 0.500
2 Gd 0.000 0.500 0.500
3 Sb 0.861 0.861 0.000
4 Gd 0.678 0.678 0.000
5 Gd 0.322 0.322 0.000
6 Sb 0.139 0.139 0.000



Record 8
A plane-wave DFT calculation with PBE was carried out for Gd2Sb after structural relaxation.

Properties
The energy above the most stable polymorph in this dataset comes out at 0.0656 eV per atom. The symmetry is Pnma (62).

a b c (Å): 6.783 4.853 10.261
angles (deg): 90.00 90.00 90.00
Fractional positions:
1 Gd 0.917 0.250 0.789
2 Gd 0.417 0.250 0.711
3 Gd 0.083 0.750 0.211
4 Gd 0.662 0.750 0.947
5 Sb 0.310 0.250 0.375
6 Gd 0.338 0.250 0.053
7 Sb 0.690 0.750 0.625
8 Gd 0.583 0.750 0.289
9 Gd 0.162 0.750 0.553
10 Gd 0.838 0.250 0.447
11 Sb 0.810 0.250 0.125
12 Sb 0.190 0.750 0.875



Record 9
A plane-wave DFT calculation with PBE was carried out for Gd2Sb after structural relaxation.

Properties
The energy above the most stable polymorph in this dataset comes out at 0.7175 eV per atom. The symmetry is Fd-3m (227).

a b c (Å): 6.254 6.254 6.254
angles (deg): 60.00 60.00 60.00
Fractional positions:
1 Sb 0.250 0.250 0.250
2 Gd 0.125 0.625 0.625
3 Gd 0.625 0.125 0.625
4 Sb 0.000 0.000 0.000
5 Gd 0.625 0.625 0.125
6 Gd 0.625 0.625 0.625



Record 10
A plane-wave DFT calculation with PBE was carried out for GdScSb after structural relaxation.

Properties
The symmetry is F-43m (216).

a b c (Å): 5.072 5.072 5.072
angles (deg): 60.00 60.00 60.00
Each line ends with the local moment (μB).
Fractional positions:
1 Sb 0.250 0.250 0.250  -0.03
2 Gd 0.000 0.000 0.000  0.52
3 Sc 0.750 0.750 0.750  0.80



Record 11
A plane-wave DFT calculation with PBE was carried out for GdScSb after structural relaxation.

Properties
The symmetry is F-43m (216).

a b c (Å): 4.955 4.955 4.955
angles (deg): 60.00 60.00 60.00
Each line ends with the local moment (μB).
Fractional positions:
1 Sc 0.000 0.000 0.000  0.19
2 Sb 0.250 0.250 0.250  -0.01
3 Gd 0.500 0.500 0.500  0.13



Record 12
A plane-wave DFT calculation with PBE was carried out for GdScSb after structural relaxation.

Properties
The symmetry is P4/nmm (129).

a b c (Å): 4.351 4.351 8.218
angles (deg): 90.00 90.00 90.00
Each line ends with the local moment (μB).
Fractional positions:
1 Sc 0.000 0.000 0.000  0.19
2 Gd 0.000 0.500 0.349  -0.01
3 Sb 0.000 0.500 0.737  0.00
4 Sb 0.500 0.000 0.263  0.00
5 Sc 0.500 0.500 0.000  0.19
6 Gd 0.500 0.000 0.651  -0.01



Record 13
A plane-wave DFT calculation with PBE was carried out for Gd2Sc2SiSb after structural relaxation.

Properties
The symmetry is I4mm (107).

a b c (Å): 8.524 8.524 8.524
angles (deg): 150.66 150.66 41.97
Each line ends with the local moment (μB).
Fractional positions:
1 Sc 0.008 0.508 0.500  0.19
2 Gd 0.671 0.671 0.000  0.09
3 Sc 0.508 0.008 0.500  0.21
4 Si 0.125 0.125 0.000  -0.01
5 Gd 0.316 0.316 0.000  0.06
6 Sb 0.871 0.871 0.000  -0.01



Record 14
A plane-wave DFT calculation with PBE was carried out for GdYSc2Sb2 after structural relaxation.

Properties
The symmetry is I4mm (107).

a b c (Å): 8.727 8.727 8.727
angles (deg): 151.08 151.08 41.36
Each line ends with the local moment (μB).
Fractional positions:
1 Sc 0.000 0.500 0.500  0.30
2 Sb 0.870 0.870 0.000  -0.01
3 Y 0.324 0.324 0.000  0.02
4 Sb 0.130 0.130 0.000  -0.01
5 Sc 0.500 0.000 0.500  0.32
6 Gd 0.676 0.676 0.000  0.02



Record 15
A plane-wave DFT calculation with PBE was carried out for Gd2ZrScSb2 after structural relaxation.

Properties
The symmetry is Immm (71).

a b c (Å): 8.830 8.830 8.830
angles (deg): 151.59 151.53 40.65
Each line ends with the local moment (μB).
Fractional positions:
1 Sb 0.131 0.131 0.000  -0.01
2 Gd 0.675 0.675 0.000  0.04
3 Zr 0.500 0.000 0.500  0.37
4 Gd 0.325 0.325 0.000  0.04
5 Sb 0.869 0.869 0.000  -0.01
6 Sc 0.000 0.500 0.500  0.28



Record 16
A plane-wave DFT calculation with PBE was carried out for SmGdSb2Se2 after structural relaxation.

Properties
The symmetry is P4mm (99).

a b c (Å): 4.178 4.178 8.990
angles (deg): 90.00 90.00 90.00
Fractional positions:
1 Se 0.000 0.000 0.625
2 Sb 0.500 0.000 0.001
3 Gd 0.000 0.000 0.296
4 Sm 0.500 0.500 0.704
5 Sb 0.000 0.500 0.001
6 Se 0.500 0.500 0.372



Record 17
A plane-wave DFT calculation with PBE was carried out for GdTlSbSe3 after structural relaxation.

Properties
The symmetry is Cmcm (63).

a b c (Å): 7.680 7.680 11.833
angles (deg): 90.00 90.00 149.57
Fractional positions:
1 Se 0.136 0.864 0.986
2 Gd 0.500 0.500 0.000
3 Tl 0.808 0.192 0.750
4 Gd 0.500 0.500 0.500
5 Tl 0.192 0.808 0.250
6 Se 0.522 0.478 0.250
7 Se 0.864 0.136 0.486
8 Sb 0.876 0.124 0.250
9 Sb 0.124 0.876 0.750
10 Se 0.136 0.864 0.514
11 Se 0.478 0.522 0.750
12 Se 0.864 0.136 0.014



Record 18
A plane-wave DFT calculation with PBE was carried out for SmGd2Sb3 after structural relaxation.

Properties
The symmetry is P-3m1 (164).

a b c (Å): 4.433 4.433 10.873
angles (deg): 90.00 90.00 120.00
Fractional positions:
1 Sb 0.000 0.000 0.000
2 Sb 0.667 0.333 0.669
3 Sb 0.333 0.667 0.331
4 Gd 0.333 0.667 0.834
5 Sm 0.000 0.000 0.500
6 Gd 0.667 0.333 0.166



Record 19
A plane-wave DFT calculation with PBE was carried out for Sm2GdSb3 after structural relaxation.

Properties
The symmetry is P-3m1 (164).

a b c (Å): 4.448 4.448 10.916
angles (deg): 90.00 90.00 120.00
Fractional positions:
1 Sm 0.667 0.333 0.168
2 Sb 0.000 0.000 0.000
3 Sb 0.667 0.333 0.664
4 Sb 0.333 0.667 0.336
5 Gd 0.000 0.000 0.500
6 Sm 0.333 0.667 0.832



Record 20
A plane-wave DFT calculation with PBE was carried out for SmGdSb2Te2 after structural relaxation.

Properties
The symmetry is P4mm (99).

a b c (Å): 4.314 4.314 9.363
angles (deg): 90.00 90.00 90.00
Fractional positions:
1 Te 0.000 0.000 0.377
2 Sb 0.000 0.500 0.999
3 Gd 0.000 0.000 0.725
4 Sb 0.500 0.000 0.999
5 Sm 0.500 0.500 0.274
6 Te 0.500 0.500 0.626



| no. | M_tot (μB per cell) | E (eV for the cell shown) |
| --- | --- | --- |
| 1 | 0.02 | -110.5 |
| 2 | 0.01 | -111.5 |
| 3 | 0.00 | -38.1 |
| 4 | 0.00 | -42.0 |
| 5 | 0.01 | -214.4 |
| 6 | 4.03 | -20.7 |
| 7 | 0.03 | -31.8 |
| 8 | 0.02 | -62.8 |
| 9 | 0.01 | -27.5 |
| 10 | 1.78 | -14.7 |
| 11 | 0.44 | -16.7 |
| 12 | 0.48 | -35.4 |
| 13 | 0.79 | -36.0 |
| 14 | 0.96 | -37.1 |
| 15 | 1.13 | -37.3 |
| 16 | 0.00 | -32.7 |
| 17 | 0.01 | -53.0 |
| 18 | 0.00 | -33.4 |
| 19 | 0.00 | -33.5 |
| 20 | 0.00 | -30.7 |